VASP calculation (PBE+U) on InCo2SbO6 after structural relaxation.

Unit cell a=5.272 b=5.321 c=5.618 alpha=90.59 beta=117.33 gamma=119.63
Fractional coordinates of all 10 atoms:
1 In 0.000 0.000 0.000
2 Co 0.560 0.280 0.839
3 Co 0.586 0.792 0.381
4 Sb 0.976 0.488 0.464
5 O 0.084 0.210 0.663
6 O 0.091 0.411 0.182
7 O 0.458 0.873 0.654
8 O 0.507 0.101 0.180
9 O 0.773 0.685 0.188
10 O 0.798 0.586 0.672

Properties
Final energy (Ry/atom): -0.4354
Symmetry: No. 1
Mass density (Mg/m³): 6.46
DOS(E_F) (states/eV per cell): 0.04